# NdGa3, optimized geometry, DFT GGA-PBE
data_NdGa3
_chemical_formula_sum 'Nd1 Ga3'
_symmetry_space_group_name_H-M 'P 1'
_symmetry_Int_Tables_number 1
_cell_length_a 4.180
_cell_length_b 4.180
_cell_length_c 6.363
_cell_angle_alpha 109.17
_cell_angle_beta 109.17
_cell_angle_gamma 90.00
loop_
_symmetry_equiv_pos_as_xyz
'x,y,z'
loop_
_atom_site_label
_atom_site_fract_x
_atom_site_fract_y
_atom_site_fract_z
Ga1 0.500 0.500 0.000
Ga2 0.279 0.279 0.558
Ga3 0.721 0.721 0.442
Nd1 0.000 0.000 0.000
# - energy above the most stable polymorph in this dataset (meV/atom) = 409.7
# - formation enthalpy at 0 K (meV/atom) = -167.6

---

# NdGa4, optimized geometry, DFT GGA-PBE
data_NdGa4
_chemical_formula_sum 'Nd4 Ga16'
_symmetry_space_group_name_H-M 'P 1'
_symmetry_Int_Tables_number 1
_cell_length_a 5.503
_cell_length_b 9.281
_cell_length_c 9.281
_cell_angle_alpha 90.00
_cell_angle_beta 90.00
_cell_angle_gamma 90.00
loop_
_symmetry_equiv_pos_as_xyz
'x,y,z'
loop_
_atom_site_label
_atom_site_fract_x
_atom_site_fract_y
_atom_site_fract_z
Ga1 0.500 0.901 0.599
Ga2 0.786 0.000 0.000
Ga3 0.500 0.393 0.303
Ga4 0.500 0.607 0.697
Ga5 0.500 0.197 0.107
Ga6 0.500 0.697 0.393
Ga7 0.500 0.401 0.901
Ga8 0.500 0.107 0.803
Ga9 0.786 0.500 0.500
Ga10 0.214 0.000 0.000
Ga11 0.500 0.803 0.893
Ga12 0.500 0.599 0.099
Ga13 0.500 0.099 0.401
Ga14 0.500 0.893 0.197
Ga15 0.214 0.500 0.500
Ga16 0.500 0.303 0.607
Nd1 0.000 0.151 0.651
Nd2 0.000 0.349 0.151
Nd3 0.000 0.651 0.849
Nd4 0.000 0.849 0.349
# - energy above the most stable polymorph in this dataset (meV/atom) = 352.1
# - formation enthalpy at 0 K (meV/atom) = -98.3